BeNbTeI2, relaxed, DFT GGA-PBE; SG = P4/mmm (123); raw total energy = -16.44 eV per cell; excess energy over the best structure of this formula in the dataset = 0.53 eV per formula unit; formation energy without anion corrections = 346.7 kJ/mol of formula units
1.0
-1.3830 3.8574 -2.9994
-4.5740 0.0745 2.2049
1.7499 3.3617 3.5165
Nb I Be Te
1 2 1 1
direct
0.5000 0.5000 0.5000
0.5000 0.0000 0.0000
0.0000 0.5000 0.0000
0.0000 0.0000 0.0000
0.0000 0.0000 0.5000